Record 1
SrSiCl2: optimized geometry, PBE.

Output
**Offset from the most stable computed form**: 3.68 kcal/mol of atoms
**Formation energy from raw total energies**: -0.812 eV per atom
**SG**: Pmm2, No. 25

The structure in extended XYZ format:
```
4
Lattice="4.050 0.000 0.000 0.000 5.711 0.000 0.000 0.000 5.582" Properties=species:S:1:pos:R:3 pbc="T T T"
Sr 0.000 0.000 0.000
Si 2.025 2.856 0.070
Cl 0.000 0.000 2.821
Cl 2.025 2.856 2.169
```

Record 2
Sr2SiCl: optimized geometry, PBE.

Output
**Offset from the most stable computed form**: 6.90 kcal/mol of atoms
**Formation energy from raw total energies**: -0.757 eV per atom
**SG**: I-42d, No. 122

The structure in extended XYZ format:
```
8
Lattice="-3.394 3.394 7.252 3.394 -3.394 7.252 3.394 3.394 -7.252" Properties=species:S:1:pos:R:3 pbc="T T T"
Sr 5.090 1.689 -1.813
Sr 1.689 1.697 1.813
Sr -1.697 1.704 5.439
Sr 1.704 1.697 9.065
Si 3.394 0.000 3.626
Si 0.000 0.000 7.252
Cl 0.000 0.000 0.000
Cl 0.000 3.394 3.626
```

Record 3
Sr2SiCl: optimized geometry, PBE.

Output
**Offset from the most stable computed form**: 1.29 kcal/mol of atoms
**Formation energy from raw total energies**: -1.000 eV per atom
**SG**: Amm2, No. 38

The structure in extended XYZ format:
```
4
Lattice="5.185 0.000 0.000 0.000 1.886 6.073 0.000 -1.886 6.073" Properties=species:S:1:pos:R:3 pbc="T T T"
Sr 0.000 0.000 0.000
Sr 2.593 0.000 3.024
Si 2.593 0.000 6.268
Cl 0.000 0.000 9.219
```

Record 4
SrSi2Cl: optimized geometry, PBE.

Output
**Offset from the most stable computed form**: 17.37 kcal/mol of atoms
**Formation energy from raw total energies**: -0.036 eV per atom
**SG**: Cmmm, No. 65

The structure in extended XYZ format:
```
4
Lattice="2.571 -6.030 0.000 2.571 6.030 0.000 0.000 0.000 3.604" Properties=species:S:1:pos:R:3 pbc="T T T"
Sr 0.000 0.000 0.000
Si 1.286 3.015 1.802
Si 1.286 -3.015 1.802
Cl 2.571 0.000 0.000
```

Among the records above, which one has the lowest formation energy from raw total energies?
number 3

Number 1 is which compound?
SrSiCl2